Record 1
Density functional theory data (PBE) for crystalline HPtPb at its relaxed geometry.

Computed properties:
symmetry	P2_1/m
crystal system	monoclinic
distance to the lowest polymorph of the same formula	19	meV per atom
spin magnetization	0.00	μB/cell

Structure (CIF):
```
data_HPtPb
_cell_length_a 3.534
_cell_length_b 5.001
_cell_length_c 5.723
_cell_angle_alpha 90.00
_cell_angle_beta 107.65
_cell_angle_gamma 90.00
_symmetry_space_group_name_H-M 'P 1'
_symmetry_Int_Tables_number 1
_symmetry_space_group_name_Hall 'P 1'
loop_
_atom_site_label
_atom_site_type_symbol
_atom_site_fract_x
_atom_site_fract_y
_atom_site_fract_z
_atom_site_occupancy
H1 H 0.093 0.250 0.191 1
H2 H 0.907 0.750 0.809 1
Pt1 Pt 0.425 0.750 0.848 1
Pt2 Pt 0.575 0.250 0.152 1
Pb1 Pb 0.154 0.750 0.302 1
Pb2 Pb 0.846 0.250 0.698 1
```

***

Record 2
Density functional theory data (PBE) for crystalline Ge2PSe at its relaxed geometry.

Computed properties:
symmetry	I-42d
crystal system	tetragonal
distance to the lowest polymorph of the same formula	151	meV per atom
spin magnetization	0.00	μB/cell
E_form (uncorrected)	133	meV/atom

Structure (CIF):
```
data_Ge2PSe
_cell_length_a 6.337
_cell_length_b 6.337
_cell_length_c 6.337
_cell_angle_alpha 117.13
_cell_angle_beta 117.13
_cell_angle_gamma 95.05
_symmetry_space_group_name_H-M 'P 1'
_symmetry_Int_Tables_number 1
_symmetry_space_group_name_Hall 'P 1'
loop_
_atom_site_label
_atom_site_type_symbol
_atom_site_fract_x
_atom_site_fract_y
_atom_site_fract_z
_atom_site_occupancy
Ge1 Ge 0.099 0.125 0.474 1
Ge2 Ge 0.375 0.901 0.026 1
Ge3 Ge 0.651 0.625 0.526 1
Ge4 Ge 0.875 0.349 0.974 1
P1 P 0.000 0.000 0.000 1
P2 P 0.750 0.250 0.500 1
Se1 Se 0.250 0.750 0.500 1
Se2 Se 0.500 0.500 0.000 1
```

***

Record 3
Density functional theory data (PBE) for crystalline K3YTh3Se8 at its relaxed geometry.

Computed properties:
symmetry	R-3m
crystal system	trigonal
spin magnetization	0.00	μB/cell
E_form (uncorrected)	-1639	meV/atom

Structure (CIF):
```
data_K3YTh3Se8
_cell_length_a 9.292
_cell_length_b 9.292
_cell_length_c 9.292
_cell_angle_alpha 54.10
_cell_angle_beta 54.10
_cell_angle_gamma 54.10
_symmetry_space_group_name_H-M 'P 1'
_symmetry_Int_Tables_number 1
_symmetry_space_group_name_Hall 'P 1'
loop_
_atom_site_label
_atom_site_type_symbol
_atom_site_fract_x
_atom_site_fract_y
_atom_site_fract_z
_atom_site_occupancy
K1 K 0.000 0.500 0.500 1
K2 K 0.500 0.000 0.500 1
K3 K 0.500 0.500 0.000 1
Y1 Y 0.500 0.500 0.500 1
Th1 Th 0.000 0.000 0.500 1
Th2 Th 0.000 0.500 0.000 1
Th3 Th 0.500 0.000 0.000 1
Se1 Se 0.239 0.239 0.239 1
Se2 Se 0.240 0.734 0.734 1
Se3 Se 0.266 0.266 0.760 1
Se4 Se 0.266 0.760 0.266 1
Se5 Se 0.734 0.240 0.734 1
Se6 Se 0.734 0.734 0.240 1
Se7 Se 0.760 0.266 0.266 1
Se8 Se 0.761 0.761 0.761 1
```